{"formula": "Na2MoO4", "functional": "meta-GGA SCAN", "state": "single point on PBEsol structure", "lattice_angstrom": [[-1.237, -5.480, 3.100], [3.891, -5.049, -0.733], [3.774, -1.871, 4.840]], "species": ["Mo", "Mo", "Na", "Na", "Na", "Na", "O", "O", "O", "O", "O", "O", "O", "O"], "frac_coords": [[0.750, 0.750, 0.750], [0.500, 0.500, 0.500], [0.125, 0.625, 0.125], [0.125, 0.125, 0.625], [0.125, 0.125, 0.125], [0.625, 0.125, 0.125], [0.838, 0.387, 0.387], [0.863, 0.412, 0.863], [0.863, 0.863, 0.863], [0.387, 0.387, 0.387], [0.863, 0.863, 0.412], [0.387, 0.387, 0.838], [0.387, 0.838, 0.387], [0.412, 0.863, 0.863]], "rho_kg_m3": 3661, "formation_energy_uncorrected_mev_per_atom": -2252, "spacegroup": "No. 227", "total_energy_ev_per_cell": -168.0, "de_polymorph_ev_per_fu": 0.00}